# 1
The following is a DFT calculation (PBE-GGA) of a relaxed structure of PmEuDyAl.

Results
As for the density of states at the Fermi level: 4.8 states/eV/f.u. Its formation energy is -0.04 eV per atom. Its total magnetization is 7.352 μB per cell. Its total energy is -5.881 eV per atom. As for the crystal system: cubic. The space group is F-43m (216).

The structure in POSCAR format:
```
PmEuDyAl
1.0
0.000 3.856 3.856
3.856 0.000 3.856
3.856 3.856 0.000
Pm Eu Dy Al
1 1 1 1
direct
0.000 0.000 0.000 Pm
0.250 0.250 0.250 Eu
0.500 0.500 0.500 Dy
0.750 0.750 0.750 Al
```

***

# 2
The following is a DFT calculation (PBE-GGA) of a relaxed structure of BeZnAg2.

Results
As for the energy above the lowest structure with this stoichiometry: 71.4 meV per atom. As for the density of states at the Fermi level: 0.6 states/eV/f.u. Its formation energy is 0.14 eV per atom. Its total magnetization is 0.000 μB per cell. Its total energy is -2.532 eV per atom. As for the crystal system: monoclinic. The space group is C2/m (12).

The structure in POSCAR format:
```
BeZnAg2
1.0
4.668 -1.487 0.000
4.668 1.487 0.000
-1.694 0.000 4.299
Be Zn Ag
1 1 2
direct
0.000 0.000 0.000 Be
0.500 0.500 0.500 Zn
0.280 0.280 0.774 Ag
0.720 0.720 0.226 Ag
```

***

# 3
The following is a DFT calculation (PBE-GGA) of a relaxed structure of SrHf3Sc.

Results
As for the energy above the lowest structure with this stoichiometry: 0.0 meV per atom. As for the density of states at the Fermi level: 11.5 states/eV/f.u. Its formation energy is 1.07 eV per atom. Its total magnetization is 0.000 μB per cell. Its total energy is -6.504 eV per atom. As for the crystal system: cubic. The space group is Pm-3m (221).

The structure in POSCAR format:
```
SrHf3Sc
1.0
5.257 0.000 0.000
0.000 5.257 0.000
0.000 0.000 5.257
Sr Hf Sc
1 3 1
direct
0.000 0.000 0.000 Sr
0.000 0.500 0.500 Hf
0.500 0.000 0.500 Hf
0.500 0.500 0.000 Hf
0.500 0.500 0.500 Sc
```

***

# 4
The following is a DFT calculation (PBE-GGA) of a relaxed structure of Fe2Te.

Results
As for the uncorrected formation energy: 0.322 eV per atom. As for the density of states at the Fermi level: 2.9 states/eV/f.u. Its total magnetization is 4.764 μB per cell. Its total energy is -6.367 eV per atom. As for the crystal system: tetragonal. The space group is I4/mmm (139).

The structure in POSCAR format:
```
Fe2Te
1.0
-1.701 1.701 4.000
1.701 -1.701 4.000
1.701 1.701 -4.000
Fe Te
2 1
direct
0.176 0.176 0.000 Fe
0.824 0.824 0.000 Fe
0.500 0.500 0.000 Te
```

***

# 5
The following is a DFT calculation (PBE-GGA) of a relaxed structure of CdHg2Os.

Results
As for the density of states at the Fermi level: 2.3 states/eV/f.u. Its formation energy is 0.67 eV per atom. Its total magnetization is 0.000 μB per cell. Its total energy is -2.519 eV per atom. As for the crystal system: monoclinic. The space group is C2/m (12).

The structure in POSCAR format:
```
CdHg2Os
1.0
5.031 -1.460 0.000
5.031 1.460 0.000
-0.985 0.000 5.287
Cd Hg Os
1 2 1
direct
0.000 0.000 0.000 Cd
0.240 0.240 0.739 Hg
0.760 0.760 0.261 Hg
0.500 0.500 0.500 Os
```

***

# 6
The following is a DFT calculation (PBE-GGA) of a relaxed structure of Be3InGe.

Results
As for the energy above the lowest structure with this stoichiometry: 447.4 meV per atom. As for the density of states at the Fermi level: 2.4 states/eV/f.u. Its formation energy is 1.28 eV per atom. Its total magnetization is 0.000 μB per cell. Its total energy is -2.426 eV per atom. As for the crystal system: cubic. The space group is Pm-3m (221).

The structure in POSCAR format:
```
Be3InGe
1.0
4.540 0.000 0.000
0.000 4.540 0.000
0.000 0.000 4.540
Be In Ge
3 1 1
direct
0.000 0.000 0.500 Be
0.000 0.500 0.000 Be
0.500 0.000 0.000 Be
0.000 0.000 0.000 In
0.500 0.500 0.500 Ge
```

***

# 7
The following is a DFT calculation (PBE-GGA) of a relaxed structure of PuTc2B.

Results
As for the density of states at the Fermi level: 6.6 states/eV/f.u. Its formation energy is 0.19 eV per atom. Its total magnetization is 5.232 μB per cell. Its total energy is -10.242 eV per atom. As for the crystal system: trigonal. The space group is R-3m (166).

The structure in POSCAR format:
```
PuTc2B
1.0
1.534 0.886 7.639
-1.534 0.886 7.639
0.000 -1.772 7.639
Pu Tc B
1 2 1
direct
0.000 0.000 0.000 Pu
0.113 0.113 0.113 Tc
0.887 0.887 0.887 Tc
0.500 0.500 0.500 B
```

***

# 8
The following is a DFT calculation (PBE-GGA) of a relaxed structure of MnInPd5.

Results
As for the energy above the lowest structure with this stoichiometry: 0.0 meV per atom. As for the density of states at the Fermi level: 4.2 states/eV/f.u. Its formation energy is -0.25 eV per atom. Its total magnetization is 4.193 μB per cell. Its total energy is -5.657 eV per atom. As for the crystal system: tetragonal. The space group is P4/mmm (123).

The structure in POSCAR format:
```
MnInPd5
1.0
3.916 0.000 0.000
0.000 3.916 0.000
0.000 0.000 7.819
Mn In Pd
1 1 5
direct
0.000 0.000 0.000 Mn
0.500 0.500 0.500 In
0.000 0.500 0.252 Pd
0.000 0.500 0.748 Pd
0.500 0.000 0.252 Pd
0.500 0.000 0.748 Pd
0.500 0.500 0.000 Pd
```

***

# 9
The following is a DFT calculation (PBE-GGA) of a relaxed structure of ReIrOF2.

Results
As for the energy above the lowest structure with this stoichiometry: 337.5 meV per atom. As for the uncorrected formation energy: 0.494 eV per atom. As for the density of states at the Fermi level: 3.3 states/eV/f.u. Its total magnetization is 5.403 μB per cell. Its total energy is -5.508 eV per atom. As for the crystal system: tetragonal. The space group is P4/mmm (123).

The structure in POSCAR format:
```
ReIrOF2
1.0
4.597 0.000 0.000
0.000 4.597 0.000
0.000 0.000 3.695
Re Ir O F
1 1 1 2
direct
0.000 0.000 0.000 Re
0.500 0.500 0.500 Ir
0.500 0.500 0.000 O
0.000 0.500 0.500 F
0.500 0.000 0.500 F
```

***

# 10
The following is a DFT calculation (PBE-GGA) of a relaxed structure of NiOsCl2.

Results
As for the energy above the lowest structure with this stoichiometry: 385.1 meV per atom. As for the uncorrected formation energy: 0.591 eV per atom. As for the density of states at the Fermi level: 4.1 states/eV/f.u. Its total magnetization is 0.000 μB per cell. Its total energy is -4.585 eV per atom. As for the crystal system: orthorhombic. The space group is Pmm2 (25).

The structure in POSCAR format:
```
NiOsCl2
1.0
2.884 0.000 0.000
0.000 3.970 0.000
0.000 0.000 7.091
Ni Os Cl
1 1 2
direct
0.000 0.000 0.000 Ni
0.500 0.500 0.074 Os
0.000 0.000 0.305 Cl
0.500 0.500 0.752 Cl
```

***

# 11
The following is a DFT calculation (PBE-GGA) of a relaxed structure of PmPaSb2.

Results
As for the energy above the lowest structure with this stoichiometry: 145.5 meV per atom. As for the uncorrected formation energy: -0.660 eV per atom. As for the density of states at the Fermi level: 4.8 states/eV/f.u. Its total magnetization is 0.667 μB per cell. Its total energy is -6.282 eV per atom. As for the crystal system: tetragonal. The space group is P4/mmm (123).

The structure in POSCAR format:
```
PmPaSb2
1.0
3.790 0.000 0.000
0.000 3.790 0.000
0.000 0.000 7.609
Pm Pa Sb
1 1 2
direct
0.000 0.000 0.000 Pm
0.000 0.000 0.500 Pa
0.500 0.500 0.263 Sb
0.500 0.500 0.737 Sb
```

***

# 12
The following is a DFT calculation (PBE-GGA) of a relaxed structure of NaTb2PmS4.

Results
As for the uncorrected formation energy: -1.931 eV per atom. As for the density of states at the Fermi level: 2.6 states/eV/f.u. Its total magnetization is 0.000 μB per cell. Its total energy is -5.911 eV per atom. As for the crystal system: monoclinic. The space group is P2/m (10).

The structure in POSCAR format:
```
NaTb2PmS4
1.0
6.902 0.000 0.000
0.000 3.956 0.000
-2.263 0.000 6.543
Na Tb Pm S
1 2 1 4
direct
0.000 0.000 0.000 Na
0.000 0.500 0.500 Tb
0.500 0.000 0.500 Tb
0.500 0.500 0.000 Pm
0.245 0.000 0.742 S
0.254 0.500 0.260 S
0.746 0.500 0.740 S
0.755 0.000 0.258 S
```

***

# 13
The following is a DFT calculation (PBE-GGA) of a relaxed structure of Cd2SiMo.

Results
As for the uncorrected formation energy: 0.652 eV per atom. As for the density of states at the Fermi level: 1.6 states/eV/f.u. Its total magnetization is 0.000 μB per cell. Its total energy is -3.869 eV per atom. As for the crystal system: tetragonal. The space group is I-42d (122).

The structure in POSCAR format:
```
Cd2SiMo
1.0
-3.851 3.851 2.596
3.851 -3.851 2.596
3.851 3.851 -2.596
Cd Si Mo
4 2 2
direct
0.099 0.625 0.974 Cd
0.375 0.349 0.474 Cd
0.651 0.125 0.026 Cd
0.875 0.901 0.526 Cd
0.000 0.000 0.000 Si
0.750 0.250 0.500 Si
0.250 0.750 0.500 Mo
0.500 0.500 0.000 Mo
```

***

# 14
The following is a DFT calculation (PBE-GGA) of a relaxed structure of LuPaIr4.

Results
As for the density of states at the Fermi level: 6.6 states/eV/f.u. Its formation energy is -0.80 eV per atom. Its total magnetization is 0.000 μB per cell. Its total energy is -9.039 eV per atom. As for the crystal system: cubic. The space group is F-43m (216).

The structure in POSCAR format:
```
LuPaIr4
1.0
0.000 3.777 3.777
3.777 0.000 3.777
3.777 3.777 0.000
Lu Pa Ir
1 1 4
direct
0.000 0.000 0.000 Lu
0.250 0.250 0.250 Pa
0.123 0.626 0.626 Ir
0.626 0.123 0.626 Ir
0.626 0.626 0.123 Ir
0.626 0.626 0.626 Ir
```

***

# 15
The following is a DFT calculation (PBE-GGA) of a relaxed structure of CuSe2BrO.

Results
As for the energy above the lowest structure with this stoichiometry: 439.2 meV per atom. As for the uncorrected formation energy: 0.877 eV per atom. As for the density of states at the Fermi level: 5.8 states/eV/f.u. Its total magnetization is 3.808 μB per cell. Its total energy is -2.663 eV per atom. As for the crystal system: tetragonal. The space group is P4/mmm (123).

The structure in POSCAR format:
```
CuSe2BrO
1.0
4.757 0.000 0.000
0.000 4.757 0.000
0.000 0.000 5.157
Cu Se Br O
1 2 1 1
direct
0.000 0.000 0.000 Cu
0.000 0.500 0.000 Se
0.500 0.000 0.000 Se
0.000 0.000 0.500 Br
0.500 0.500 0.500 O
```

***

# 16
The following is a DFT calculation (PBE-GGA) of a relaxed structure of K2CdGa3Ge4.

Results
As for the density of states at the Fermi level: 3.0 states/eV/f.u. Its formation energy is -0.11 eV per atom. Its total magnetization is 0.000 μB per cell. Its total energy is -3.172 eV per atom. As for the crystal system: tetragonal. The space group is P-4m2 (115).

The structure in POSCAR format:
```
K2CdGa3Ge4
1.0
4.665 0.000 0.000
0.000 4.665 0.000
0.000 0.000 10.796
K Cd Ga Ge
2 1 3 4
direct
0.000 0.500 0.246 K
0.500 0.000 0.754 K
0.000 0.000 0.500 Cd
0.000 0.500 0.875 Ga
0.500 0.000 0.125 Ga
0.500 0.500 0.500 Ga
0.000 0.000 0.000 Ge
0.000 0.500 0.637 Ge
0.500 0.000 0.363 Ge
0.500 0.500 0.000 Ge
```

***

# 17
The following is a DFT calculation (PBE-GGA) of a relaxed structure of CaSbW2.

Results
As for the uncorrected formation energy: 0.773 eV per atom. As for the density of states at the Fermi level: 3.2 states/eV/f.u. Its total magnetization is 0.000 μB per cell. Its total energy is -7.234 eV per atom. As for the crystal system: monoclinic. The space group is C2/m (12).

The structure in POSCAR format:
```
CaSbW2
1.0
2.954 -5.200 0.000
2.954 5.200 0.000
-1.291 0.000 2.569
Ca Sb W
1 1 2
direct
0.000 0.000 0.000 Ca
0.500 0.500 0.000 Sb
0.000 0.500 0.500 W
0.500 0.000 0.500 W
```

***

# 18
The following is a DFT calculation (PBE-GGA) of a relaxed structure of SrLaSe4.

Results
As for the uncorrected formation energy: -0.508 eV per atom. As for the density of states at the Fermi level: 5.5 states/eV/f.u. Its total magnetization is 0.002 μB per cell. Its total energy is -3.933 eV per atom. As for the crystal system: cubic. The space group is F-43m (216).

The structure in POSCAR format:
```
SrLaSe4
1.0
0.000 4.267 4.267
4.267 0.000 4.267
4.267 4.267 0.000
Sr La Se
1 1 4
direct
0.000 0.000 0.000 Sr
0.750 0.750 0.750 La
0.375 0.375 0.375 Se
0.375 0.375 0.874 Se
0.375 0.874 0.375 Se
0.874 0.375 0.375 Se
```

***

# 19
The following is a DFT calculation (PBE-GGA) of a relaxed structure of LiZnSi2.

Results
As for the uncorrected formation energy: 0.265 eV per atom. As for the density of states at the Fermi level: 1.3 states/eV/f.u. Its total magnetization is 0.000 μB per cell. Its total energy is -3.244 eV per atom. As for the crystal system: tetragonal. The space group is I-42d (122).

The structure in POSCAR format:
```
LiZnSi2
1.0
-3.738 3.738 2.442
3.738 -3.738 2.442
3.738 3.738 -2.442
Li Zn Si
2 2 4
direct
0.000 0.000 0.000 Li
0.750 0.250 0.500 Li
0.250 0.750 0.500 Zn
0.500 0.500 0.000 Zn
0.179 0.625 0.054 Si
0.375 0.429 0.554 Si
0.571 0.125 0.946 Si
0.875 0.821 0.446 Si
```

***

# 20
The following is a DFT calculation (PBE-GGA) of a relaxed structure of Y2TaZnIn.

Results
As for the density of states at the Fermi level: 11.2 states/eV/f.u. Its formation energy is 1.06 eV per atom. Its total magnetization is 1.262 μB per cell. Its total energy is -4.695 eV per atom. As for the crystal system: tetragonal. The space group is P4/mmm (123).

The structure in POSCAR format:
```
Y2TaZnIn
1.0
5.620 0.000 0.000
0.000 5.620 0.000
0.000 0.000 5.138
Y Ta Zn In
2 1 1 1
direct
0.000 0.500 0.000 Y
0.500 0.000 0.000 Y
0.000 0.000 0.500 Ta
0.500 0.500 0.500 Zn
0.000 0.000 0.000 In
```